# 1
# LaAl2Ag (SCAN, PBEsol geometry)
data_LaAl2Ag
_cell_length_a 3.0099
_cell_length_b 5.5328
_cell_length_c 10.2988
_cell_angle_alpha 90.00
_cell_angle_beta 90.00
_cell_angle_gamma 90.00
_space_group_name_H-M_alt 'I m m m'
_space_group_IT_number 71
_space_group_name_Hall '-I 2 2'
loop_
_atom_site_label
_atom_site_type_symbol
_atom_site_fract_x
_atom_site_fract_y
_atom_site_fract_z
La1 La 0.0000 0.0000 0.0000
Al1 Al 0.0000 0.5000 0.2195
Ag1 Ag 0.0000 0.0000 0.5000
# Final energy (eV per atom): -22.60
# Theoretical density (g/cm³): 5.82
# Formation energy from the elements (meV per atom): -103

# 2
# Sr2Cd2Au (SCAN, PBEsol geometry)
data_Sr2Cd2Au
_cell_length_a 3.9864
_cell_length_b 3.9864
_cell_length_c 18.6491
_cell_angle_alpha 90.00
_cell_angle_beta 90.00
_cell_angle_gamma 90.00
_space_group_name_H-M_alt 'I 4/m m m'
_space_group_IT_number 139
_space_group_name_Hall '-I 4 2'
loop_
_atom_site_label
_atom_site_type_symbol
_atom_site_fract_x
_atom_site_fract_y
_atom_site_fract_z
Sr1 Sr 0.0000 0.0000 0.0947
Cd1 Cd 0.0000 0.5000 0.2500
Au1 Au 0.0000 0.0000 0.5000
# Final energy (eV per atom): -35.33
# Theoretical density (g/cm³): 6.69
# Formation energy from the elements (meV per atom): -424

# 3
# Ca3P3Rh2 (SCAN, PBEsol geometry)
data_Ca3P3Rh2
_cell_length_a 7.6762
_cell_length_b 13.6091
_cell_length_c 5.7717
_cell_angle_alpha 90.00
_cell_angle_beta 90.00
_cell_angle_gamma 90.00
_space_group_name_H-M_alt 'P n m a'
_space_group_IT_number 62
loop_
_space_group_symop_operation_xyz
'x,y,z'
'-x,-y,-z'
'-x+1/2,-y,z+1/2'
'x+1/2,y,-z+1/2'
'x+1/2,-y+1/2,-z+1/2'
'-x+1/2,y+1/2,z+1/2'
'-x,y+1/2,-z'
'x,-y+1/2,z'
loop_
_atom_site_label
_atom_site_type_symbol
_atom_site_fract_x
_atom_site_fract_y
_atom_site_fract_z
Ca1 Ca 0.0414 0.1120 0.1270
Ca2 Ca 0.1896 0.2500 0.6200
P1 P 0.1623 0.7500 0.5830
P2 P 0.1951 0.0489 0.6306
Rh1 Rh 0.0973 0.5817 0.4023
# Final energy (eV per atom): -17.05
# Theoretical density (g/cm³): 4.62
# Formation energy from the elements (meV per atom): -1081

# 4
# TiPd2SeS (SCAN, PBEsol geometry)
data_TiPd2SeS
_cell_length_a 4.7595
_cell_length_b 4.7595
_cell_length_c 4.3550
_cell_angle_alpha 90.00
_cell_angle_beta 90.00
_cell_angle_gamma 90.00
_space_group_name_H-M_alt 'P 4/m m m'
_space_group_IT_number 123
_space_group_name_Hall '-P 4 2'
loop_
_atom_site_label
_atom_site_type_symbol
_atom_site_fract_x
_atom_site_fract_y
_atom_site_fract_z
Ti1 Ti 0.0000 0.0000 0.0000
Pd1 Pd 0.0000 0.5000 0.0000
Se1 Se 0.5000 0.5000 0.5000
S1 S 0.0000 0.0000 0.5000
# Final energy (eV per atom): -21.95
# E_form (uncorrected) (eV/atom): 0.31
# Theoretical density (g/cm³): 6.26

# 5
# Sc2TiCuTc (SCAN, PBEsol geometry)
data_Sc2TiCuTc
_cell_length_a 4.6670
_cell_length_b 4.6670
_cell_length_c 4.3134
_cell_angle_alpha 90.00
_cell_angle_beta 90.00
_cell_angle_gamma 90.00
_space_group_name_H-M_alt 'P 4/m m m'
_space_group_IT_number 123
_space_group_name_Hall '-P 4 2'
loop_
_atom_site_label
_atom_site_type_symbol
_atom_site_fract_x
_atom_site_fract_y
_atom_site_fract_z
Sc1 Sc 0.0000 0.5000 0.0000
Ti1 Ti 0.0000 0.0000 0.0000
Cu1 Cu 0.0000 0.0000 0.5000
Tc1 Tc 0.5000 0.5000 0.5000
# Final energy (eV per atom): -17.71
# Theoretical density (g/cm³): 5.29
# Formation energy from the elements (meV per atom): 1243

# 6
# CdGeIO2 (SCAN, PBEsol geometry)
data_CdGeIO2
_cell_length_a 4.2020
_cell_length_b 4.2020
_cell_length_c 5.7332
_cell_angle_alpha 90.00
_cell_angle_beta 90.00
_cell_angle_gamma 90.00
_space_group_name_H-M_alt 'P 4/m m m'
_space_group_IT_number 123
_space_group_name_Hall '-P 4 2'
loop_
_atom_site_label
_atom_site_type_symbol
_atom_site_fract_x
_atom_site_fract_y
_atom_site_fract_z
Cd1 Cd 0.0000 0.0000 0.0000
Ge1 Ge 0.5000 0.5000 0.5000
I1 I 0.0000 0.0000 0.5000
O1 O 0.0000 0.5000 0.0000
# Final energy (eV per atom): -19.49
# E_form (uncorrected) (eV/atom): 0.25
# Theoretical density (g/cm³): 5.64

# 7
# Tl2AsW (SCAN, PBEsol geometry)
data_Tl2AsW
_cell_length_a 6.9238
_cell_length_b 6.9238
_cell_length_c 6.9238
_cell_angle_alpha 90.00
_cell_angle_beta 90.00
_cell_angle_gamma 90.00
_space_group_name_H-M_alt 'F m -3 m'
_space_group_IT_number 225
_space_group_name_Hall '-F 4 2 3'
loop_
_atom_site_label
_atom_site_type_symbol
_atom_site_fract_x
_atom_site_fract_y
_atom_site_fract_z
Tl1 Tl 0.2500 0.2500 0.2500
As1 As 0.0000 0.0000 0.0000
W1 W 0.0000 0.0000 0.5000
# Final energy (eV per atom): -57.30
# Theoretical density (g/cm³): 13.36
# Formation energy from the elements (meV per atom): 1351

# 8
# TcRh2Cl (SCAN, PBEsol geometry)
data_TcRh2Cl
_cell_length_a 2.7846
_cell_length_b 4.3427
_cell_length_c 9.1949
_cell_angle_alpha 90.00
_cell_angle_beta 90.00
_cell_angle_gamma 90.00
_space_group_name_H-M_alt 'I m m 2'
_space_group_IT_number 44
loop_
_space_group_symop_operation_xyz
'x,y,z'
'-x,-y,z'
'-x,y,z'
'x,-y,z'
'x+1/2,y+1/2,z+1/2'
'-x+1/2,-y+1/2,z+1/2'
'-x+1/2,y+1/2,z+1/2'
'x+1/2,-y+1/2,z+1/2'
loop_
_atom_site_label
_atom_site_type_symbol
_atom_site_fract_x
_atom_site_fract_y
_atom_site_fract_z
Tc1 Tc 0.0000 0.0000 0.0000
Rh1 Rh 0.0000 0.0000 0.4422
Rh2 Rh 0.0000 0.5000 0.2417
Cl1 Cl 0.0000 0.5000 0.7070
# Final energy (eV per atom): -27.07
# E_form (uncorrected) (eV/atom): 0.58
# Theoretical density (g/cm³): 10.13

# 9
# Hf2MnBr (SCAN, PBEsol geometry)
data_Hf2MnBr
_cell_length_a 6.5716
_cell_length_b 6.5716
_cell_length_c 6.5716
_cell_angle_alpha 90.00
_cell_angle_beta 90.00
_cell_angle_gamma 90.00
_space_group_name_H-M_alt 'F m -3 m'
_space_group_IT_number 225
_space_group_name_Hall '-F 4 2 3'
loop_
_atom_site_label
_atom_site_type_symbol
_atom_site_fract_x
_atom_site_fract_y
_atom_site_fract_z
Hf1 Hf 0.2500 0.2500 0.2500
Mn1 Mn 0.0000 0.0000 0.0000
Br1 Br 0.0000 0.0000 0.5000
# Final energy (eV per atom): -40.45
# E_form (uncorrected) (eV/atom): 0.31
# Theoretical density (g/cm³): 11.51

# 10
# ZrTaBr2 (SCAN, PBEsol geometry)
data_ZrTaBr2
_cell_length_a 3.3312
_cell_length_b 3.3312
_cell_length_c 28.4750
_cell_angle_alpha 90.00
_cell_angle_beta 90.00
_cell_angle_gamma 120.00
_space_group_name_H-M_alt 'R 3 m'
_space_group_IT_number 160
_space_group_name_Hall 'R 3 -2"'
loop_
_atom_site_label
_atom_site_type_symbol
_atom_site_fract_x
_atom_site_fract_y
_atom_site_fract_z
Zr1 Zr 0.0000 0.0000 0.0000
Ta1 Ta 0.0000 0.0000 0.7499
Br1 Br 0.0000 0.0000 0.2666
Br2 Br 0.0000 0.0000 0.4790
# Final energy (eV per atom): -34.64
# E_form (uncorrected) (eV/atom): -0.59
# Theoretical density (g/cm³): 7.86

# 11
# YMgP2 (SCAN, PBEsol geometry)
data_YMgP2
_cell_length_a 3.4974
_cell_length_b 3.4974
_cell_length_c 6.0314
_cell_angle_alpha 90.00
_cell_angle_beta 90.00
_cell_angle_gamma 90.00
_space_group_name_H-M_alt 'P 4/m m m'
_space_group_IT_number 123
_space_group_name_Hall '-P 4 2'
loop_
_atom_site_label
_atom_site_type_symbol
_atom_site_fract_x
_atom_site_fract_y
_atom_site_fract_z
Y1 Y 0.0000 0.0000 0.0000
Mg1 Mg 0.0000 0.0000 0.5000
P1 P 0.5000 0.5000 0.2575
# Final energy (eV per atom): -14.10
# Theoretical density (g/cm³): 3.94
# Formation energy from the elements (meV per atom): -701

# 12
# TcGe2Cl (SCAN, PBEsol geometry)
data_TcGe2Cl
_cell_length_a 6.4707
_cell_length_b 6.4707
_cell_length_c 6.4707
_cell_angle_alpha 90.00
_cell_angle_beta 90.00
_cell_angle_gamma 90.00
_space_group_name_H-M_alt 'F m -3 m'
_space_group_IT_number 225
_space_group_name_Hall '-F 4 2 3'
loop_
_atom_site_label
_atom_site_type_symbol
_atom_site_fract_x
_atom_site_fract_y
_atom_site_fract_z
Tc1 Tc 0.0000 0.0000 0.0000
Ge1 Ge 0.2500 0.2500 0.2500
Cl1 Cl 0.0000 0.0000 0.5000
# Final energy (eV per atom): -19.53
# E_form (uncorrected) (eV/atom): 0.78
# Theoretical density (g/cm³): 6.83